Entry 1:
VASP calculation (PBE) on crystalline Ho2SN at its relaxed geometry.

Computed properties:
* ΔE_f (raw): -174.9 kJ per mole of atoms
* energy above the lowest structure with this stoichiometry: 22 kJ/mol of formula units

a = 3.5717 Å, b = 3.5717 Å, c = 19.1739 Å
α = 90.00°, β = 90.00°, γ = 120.00°
Fractional coordinates of all 12 atoms:
Ho 0.0000 0.0000 0.0000
Ho 0.0000 0.0000 0.1964
Ho 0.3333 0.6667 0.6667
Ho 0.3333 0.6667 0.8630
Ho 0.6667 0.3333 0.3333
Ho 0.6667 0.3333 0.5297
S 0.0000 0.0000 0.4315
S 0.3333 0.6667 0.0982
S 0.6667 0.3333 0.7649
N 0.0000 0.0000 0.6022
N 0.3333 0.6667 0.2689
N 0.6667 0.3333 0.9356



Entry 2:
VASP calculation (PBE) on crystalline MoPSN2 at its relaxed geometry.

Computed properties:
* ΔE_f (raw): 77.9 kJ per mole of atoms
* energy above the lowest structure with this stoichiometry: 0 kJ/mol of formula units

a = 3.8645 Å, b = 3.8645 Å, c = 5.0827 Å
α = 90.00°, β = 90.00°, γ = 90.00°
Fractional coordinates of all 5 atoms:
Mo 0.0000 0.0000 0.0000
P 0.5000 0.5000 0.5000
S 0.0000 0.0000 0.5000
N 0.0000 0.5000 0.0000
N 0.5000 0.0000 0.0000



Entry 3:
VASP calculation (PBE) on crystalline ZrC3 at its relaxed geometry.

Computed properties:
* energy above the lowest structure with this stoichiometry: 1062 kJ/mol of formula units
* formation energy from the elements: 3.01 eV/atom

a = 4.4111 Å, b = 4.4111 Å, c = 4.4111 Å
α = 90.00°, β = 90.00°, γ = 90.00°
Fractional coordinates of all 4 atoms:
Zr 0.0000 0.0000 0.0000
C 0.0000 0.0000 0.5000
C 0.0000 0.5000 0.0000
C 0.5000 0.0000 0.0000



Entry 4:
VASP calculation (PBE) on crystalline Nd4AgSe2S at its relaxed geometry.

Computed properties:
* ΔE_f (raw): -140.1 kJ per mole of atoms

a = 7.3303 Å, b = 4.1947 Å, c = 7.3440 Å
α = 90.00°, β = 109.37°, γ = 90.00°
Fractional coordinates of all 8 atoms:
Nd 0.2440 0.0000 0.2359
Nd 0.2527 0.5000 0.7604
Nd 0.7473 0.5000 0.2396
Nd 0.7560 0.0000 0.7641
Ag 0.0000 0.0000 0.5000
Se 0.5000 0.0000 0.0000
Se 0.5000 0.5000 0.5000
S 0.0000 0.5000 0.0000



Entry 5:
VASP calculation (PBE) on crystalline Zr2AgH2 at its relaxed geometry.

a = 3.4885 Å, b = 3.4885 Å, c = 11.2945 Å
α = 90.00°, β = 90.00°, γ = 90.00°
Fractional coordinates of all 10 atoms:
Zr 0.0000 0.0000 0.1471
Zr 0.0000 0.0000 0.8529
Zr 0.5000 0.5000 0.3529
Zr 0.5000 0.5000 0.6471
Ag 0.0000 0.0000 0.5000
Ag 0.5000 0.5000 0.0000
H 0.0000 0.5000 0.2500
H 0.0000 0.5000 0.7500
H 0.5000 0.0000 0.2500
H 0.5000 0.0000 0.7500



Entry 6:
VASP calculation (PBE) on crystalline Zr2HRuPb at its relaxed geometry.

a = 4.5082 Å, b = 4.5082 Å, c = 4.0679 Å
α = 90.00°, β = 90.00°, γ = 90.00°
Fractional coordinates of all 5 atoms:
Zr 0.0000 0.5000 0.0000
Zr 0.5000 0.0000 0.0000
H 0.0000 0.0000 0.0000
Ru 0.0000 0.0000 0.5000
Pb 0.5000 0.5000 0.5000



Entry 7:
VASP calculation (PBE) on crystalline MgAs4Ru at its relaxed geometry.

Computed properties:
* formation energy from the elements: 0.57 eV/atom

a = 5.4641 Å, b = 5.4641 Å, c = 5.4641 Å
α = 60.00°, β = 60.00°, γ = 60.00°
Fractional coordinates of all 6 atoms:
Mg 0.0000 0.0000 0.0000
As 0.3755 0.3755 0.3755
As 0.3755 0.3755 0.8736
As 0.3755 0.8736 0.3755
As 0.8736 0.3755 0.3755
Ru 0.7500 0.7500 0.7500



Entry 8:
VASP calculation (PBE) on crystalline Na3CuSe at its relaxed geometry.

Computed properties:
* ΔE_f (raw): -26.0 kJ per mole of atoms
* energy above the lowest structure with this stoichiometry: 0 kJ/mol of formula units

a = 5.4703 Å, b = 5.4703 Å, c = 5.4703 Å
α = 90.00°, β = 90.00°, γ = 90.00°
Fractional coordinates of all 5 atoms:
Na 0.0000 0.0000 0.5000
Na 0.0000 0.5000 0.0000
Na 0.5000 0.0000 0.0000
Cu 0.5000 0.5000 0.5000
Se 0.0000 0.0000 0.0000



Entry 9:
VASP calculation (PBE) on crystalline Tb5HoIr4 at its relaxed geometry.

Computed properties:
* formation energy from the elements: -0.65 eV/atom

a = 9.3076 Å, b = 9.3076 Å, c = 7.3758 Å
α = 113.20°, β = 113.20°, γ = 26.40°
Fractional coordinates of all 10 atoms:
Tb 0.0000 0.0000 0.0000
Tb 0.3347 0.3347 0.0917
Tb 0.3348 0.3348 0.5776
Tb 0.6652 0.6652 0.4224
Tb 0.6653 0.6653 0.9083
Ho 0.0000 0.0000 0.5000
Ir 0.1996 0.1996 0.6997
Ir 0.5000 0.5000 0.2467
Ir 0.5000 0.5000 0.7533
Ir 0.8004 0.8004 0.3003



Entry 10:
VASP calculation (PBE) on crystalline LaOsO2F at its relaxed geometry.

Computed properties:
* ΔE_f (raw): -58.5 kJ per mole of atoms

a = 4.6573 Å, b = 4.6573 Å, c = 4.5181 Å
α = 90.00°, β = 90.00°, γ = 90.00°
Fractional coordinates of all 5 atoms:
La 0.0000 0.0000 0.0000
Os 0.5000 0.5000 0.5000
O 0.0000 0.5000 0.0000
O 0.5000 0.0000 0.0000
F 0.0000 0.0000 0.5000



Entry 11:
VASP calculation (PBE) on crystalline Co2TcMo at its relaxed geometry.

Computed properties:
* energy above the lowest structure with this stoichiometry: 119 kJ/mol of formula units
* formation energy from the elements: 0.28 eV/atom

a = 5.9572 Å, b = 5.9572 Å, c = 5.9572 Å
α = 90.00°, β = 90.00°, γ = 90.00°
Fractional coordinates of all 16 atoms:
Co 0.2500 0.2500 0.2500
Co 0.2500 0.2500 0.7500
Co 0.2500 0.7500 0.2500
Co 0.2500 0.7500 0.7500
Co 0.7500 0.2500 0.2500
Co 0.7500 0.2500 0.7500
Co 0.7500 0.7500 0.2500
Co 0.7500 0.7500 0.7500
Tc 0.0000 0.0000 0.0000
Tc 0.0000 0.5000 0.5000
Tc 0.5000 0.0000 0.5000
Tc 0.5000 0.5000 0.0000
Mo 0.0000 0.0000 0.5000
Mo 0.0000 0.5000 0.0000
Mo 0.5000 0.0000 0.0000
Mo 0.5000 0.5000 0.5000



Entry 12:
VASP calculation (PBE) on crystalline CrSiCCl2 at its relaxed geometry.

Computed properties:
* ΔE_f (raw): 63.4 kJ per mole of atoms

a = 5.1280 Å, b = 5.1280 Å, c = 3.4424 Å
α = 90.00°, β = 90.00°, γ = 90.00°
Fractional coordinates of all 5 atoms:
Cr 0.0000 0.0000 0.0000
Si 0.5000 0.5000 0.5000
C 0.5000 0.5000 0.0000
Cl 0.0000 0.5000 0.5000
Cl 0.5000 0.0000 0.5000



Entry 13:
VASP calculation (PBE) on crystalline AlCO2 at its relaxed geometry.

Computed properties:
* ΔE_f (raw): 49.3 kJ per mole of atoms
* energy above the lowest structure with this stoichiometry: 391 kJ/mol of formula units

a = 5.1052 Å, b = 5.1052 Å, c = 5.1052 Å
α = 90.00°, β = 90.00°, γ = 90.00°
Fractional coordinates of all 16 atoms:
Al 0.0000 0.0000 0.0000
Al 0.0000 0.5000 0.5000
Al 0.5000 0.0000 0.5000
Al 0.5000 0.5000 0.0000
C 0.0000 0.0000 0.5000
C 0.0000 0.5000 0.0000
C 0.5000 0.0000 0.0000
C 0.5000 0.5000 0.5000
O 0.2500 0.2500 0.2500
O 0.2500 0.2500 0.7500
O 0.2500 0.7500 0.2500
O 0.2500 0.7500 0.7500
O 0.7500 0.2500 0.2500
O 0.7500 0.2500 0.7500
O 0.7500 0.7500 0.2500
O 0.7500 0.7500 0.7500



Entry 14:
VASP calculation (PBE) on crystalline MgAgMo2 at its relaxed geometry.

Computed properties:
* formation energy from the elements: 0.31 eV/atom

a = 2.7115 Å, b = 2.7115 Å, c = 9.1337 Å
α = 90.00°, β = 90.00°, γ = 90.00°
Fractional coordinates of all 4 atoms:
Mg 0.0000 0.0000 0.0000
Ag 0.5000 0.5000 0.7523
Mo 0.0000 0.0000 0.5037
Mo 0.5000 0.5000 0.2513



Entry 15:
VASP calculation (PBE) on crystalline Cs2KSiAu at its relaxed geometry.

Computed properties:
* ΔE_f (raw): 3.2 kJ per mole of atoms

a = 7.4014 Å, b = 7.4014 Å, c = 4.7032 Å
α = 90.00°, β = 90.00°, γ = 90.00°
Fractional coordinates of all 5 atoms:
Cs 0.0000 0.5000 0.0000
Cs 0.5000 0.0000 0.0000
K 0.0000 0.0000 0.5000
Si 0.5000 0.5000 0.5000
Au 0.5000 0.5000 0.0000



Entry 16:
VASP calculation (PBE) on crystalline BeCo4Ru at its relaxed geometry.

Computed properties:
* formation energy from the elements: 0.22 eV/atom

a = 4.6276 Å, b = 4.6276 Å, c = 4.6276 Å
α = 60.00°, β = 60.00°, γ = 60.00°
Fractional coordinates of all 6 atoms:
Be 0.0000 0.0000 0.0000
Co 0.1233 0.6256 0.6256
Co 0.6256 0.1233 0.6256
Co 0.6256 0.6256 0.1233
Co 0.6256 0.6256 0.6256
Ru 0.2500 0.2500 0.2500



Entry 17:
VASP calculation (PBE) on crystalline La12Ho3Tl at its relaxed geometry.

Computed properties:
* formation energy from the elements: -0.05 eV/atom

a = 5.1575 Å, b = 5.1575 Å, c = 20.8240 Å
α = 90.00°, β = 90.00°, γ = 90.00°
Fractional coordinates of all 16 atoms:
La 0.0000 0.0000 0.0000
La 0.0000 0.0000 0.2493
La 0.0000 0.0000 0.5000
La 0.0000 0.0000 0.7507
La 0.0000 0.5000 0.1225
La 0.0000 0.5000 0.3744
La 0.0000 0.5000 0.6256
La 0.0000 0.5000 0.8775
La 0.5000 0.0000 0.1225
La 0.5000 0.0000 0.3744
La 0.5000 0.0000 0.6256
La 0.5000 0.0000 0.8775
Ho 0.5000 0.5000 0.2488
Ho 0.5000 0.5000 0.5000
Ho 0.5000 0.5000 0.7512
Tl 0.5000 0.5000 0.0000



Entry 18:
VASP calculation (PBE) on crystalline Y2NiBS at its relaxed geometry.

Computed properties:
* ΔE_f (raw): -69.4 kJ per mole of atoms
* energy above the lowest structure with this stoichiometry: 0 kJ/mol of formula units

a = 5.0266 Å, b = 5.0266 Å, c = 3.7277 Å
α = 90.00°, β = 90.00°, γ = 90.00°
Fractional coordinates of all 5 atoms:
Y 0.0000 0.5000 0.0000
Y 0.5000 0.0000 0.0000
Ni 0.0000 0.0000 0.5000
B 0.0000 0.0000 0.0000
S 0.5000 0.5000 0.5000



Entry 19:
VASP calculation (PBE) on crystalline YH2O at its relaxed geometry.

Computed properties:
* energy above the lowest structure with this stoichiometry: 23 kJ/mol of formula units

a = 4.3939 Å, b = 3.5679 Å, c = 5.9213 Å
α = 90.00°, β = 111.19°, γ = 90.00°
Fractional coordinates of all 8 atoms:
Y 0.0000 0.0000 0.0000
Y 0.2845 0.5000 0.5646
H 0.3257 0.0000 0.3917
H 0.3324 0.5000 0.1700
H 0.4180 0.0000 0.8373
H 0.6254 0.5000 0.2051
O 0.8575 0.5000 0.2065
O 0.8714 0.5000 0.7217



Entry 20:
VASP calculation (PBE) on crystalline ScBe3Pt3 at its relaxed geometry.

Computed properties:
* formation energy from the elements: -0.31 eV/atom

a = 6.1031 Å, b = 6.1031 Å, c = 6.1031 Å
α = 90.00°, β = 90.00°, γ = 90.00°
Fractional coordinates of all 14 atoms:
Sc 0.0000 0.0000 0.0000
Sc 0.5000 0.5000 0.5000
Be 0.0000 0.2500 0.5000
Be 0.0000 0.7500 0.5000
Be 0.2500 0.5000 0.0000
Be 0.5000 0.0000 0.2500
Be 0.5000 0.0000 0.7500
Be 0.7500 0.5000 0.0000
Pt 0.0000 0.5000 0.2500
Pt 0.0000 0.5000 0.7500
Pt 0.2500 0.0000 0.5000
Pt 0.5000 0.2500 0.0000
Pt 0.5000 0.7500 0.0000
Pt 0.7500 0.0000 0.5000



Number 1: total energy -7.215 eV/atom. Number 2: total energy -6.596 eV/atom. Number 3: total energy -6.042 eV/atom. Number 4: total energy -5.579 eV/atom. Number 5: total energy -5.640 eV/atom. Number 6: total energy -6.919 eV/atom. Number 7: total energy -4.345 eV/atom. Number 8: total energy -2.577 eV/atom. Number 9: total energy -6.969 eV/atom. Number 10: total energy -6.196 eV/atom. Number 11: total energy -8.575 eV/atom. Number 12: total energy -4.935 eV/atom. Number 13: total energy -5.210 eV/atom. Number 14: total energy -6.222 eV/atom. Number 15: total energy -2.268 eV/atom. Number 16: total energy -6.689 eV/atom. Number 17: total energy -4.747 eV/atom. Number 18: total energy -6.622 eV/atom. Number 19: total energy -6.092 eV/atom. Number 20: total energy -5.402 eV/atom.